1.
# SiBAu PBE-GGA optimized geometry
# Raw total energy   -4.98 eV per atom
# Magnetic moment   0.00 μB/cell
data_SiBAu
_cell_length_a 3.518
_cell_length_b 4.282
_cell_length_c 6.143
_cell_angle_alpha 90.19
_cell_angle_beta 91.06
_cell_angle_gamma 90.22
_symmetry_space_group_name_H-M 'P -1'
_symmetry_Int_Tables_number 2
_symmetry_space_group_name_Hall '-P 1'
loop_
_atom_site_label
_atom_site_fract_x
_atom_site_fract_y
_atom_site_fract_z
Si1 0.006 0.000 0.309
B1 0.486 0.000 0.862
Au1 0.403 0.500 0.244

2.
# Y2TcAu PBE-GGA optimized geometry
# E_form   27.1 kJ/mol of atoms
# Magnetic moment   1.16 μB/cell
data_Y2TcAu
_cell_length_a 3.4648
_cell_length_b 3.4648
_cell_length_c 28.0617
_cell_angle_alpha 90.00
_cell_angle_beta 90.00
_cell_angle_gamma 120.00
_symmetry_space_group_name_H-M 'R 3 m'
_symmetry_Int_Tables_number 160
_symmetry_space_group_name_Hall 'R 3 -2"'
loop_
_atom_site_label
_atom_site_fract_x
_atom_site_fract_y
_atom_site_fract_z
Y1 0.0000 0.0000 0.0000
Y2 0.0000 0.0000 0.2183
Tc1 0.0000 0.0000 0.4804
Au1 0.0000 0.0000 0.7423

3.
# TbEr3Al8 PBE-GGA optimized geometry
# E_form   -48.5 kJ/mol of atoms
# Magnetic moment   0.00 μB/cell
data_TbEr3Al8
_cell_length_a 5.5328
_cell_length_b 5.5328
_cell_length_c 9.0750
_cell_angle_alpha 90.00
_cell_angle_beta 90.00
_cell_angle_gamma 120.00
_symmetry_space_group_name_H-M 'P 3 m 1'
_symmetry_Int_Tables_number 156
_symmetry_space_group_name_Hall 'P 3 -2"'
loop_
_atom_site_label
_atom_site_fract_x
_atom_site_fract_y
_atom_site_fract_z
Tb1 0.0000 0.0000 0.0000
Er1 0.0000 0.0000 0.3647
Er2 0.6667 0.3333 0.4994
Er3 0.6667 0.3333 0.8642
Al1 0.1620 0.3241 0.6815
Al2 0.3333 0.6667 0.4328
Al3 0.3333 0.6667 0.9318
Al4 0.5046 0.0092 0.1833

4.
# LaZn2Co PBE-GGA optimized geometry
# E_form   -12.8 kJ/mol of atoms
# Magnetic moment   0.01 μB/cell
data_LaZn2Co
_cell_length_a 7.272
_cell_length_b 4.186
_cell_length_c 5.741
_cell_angle_alpha 90.00
_cell_angle_beta 114.69
_cell_angle_gamma 90.00
_symmetry_space_group_name_H-M 'C 1 2/m 1'
_symmetry_Int_Tables_number 12
_symmetry_space_group_name_Hall '-C 2y'
loop_
_atom_site_label
_atom_site_fract_x
_atom_site_fract_y
_atom_site_fract_z
La1 0.000 0.000 0.000
Zn1 0.201 0.000 0.604
Co1 0.000 0.500 0.500

5.
# YZrCl2 PBE-GGA optimized geometry
# Raw total energy   -5.37 eV per atom
# Magnetic moment   1.27 μB/cell
data_YZrCl2
_cell_length_a 3.234
_cell_length_b 3.234
_cell_length_c 12.104
_cell_angle_alpha 90.00
_cell_angle_beta 90.00
_cell_angle_gamma 90.00
_symmetry_space_group_name_H-M 'P 4/m m m'
_symmetry_Int_Tables_number 123
_symmetry_space_group_name_Hall '-P 4 2'
loop_
_atom_site_label
_atom_site_fract_x
_atom_site_fract_y
_atom_site_fract_z
Y1 0.000 0.000 0.000
Zr1 0.000 0.000 0.500
Cl1 0.500 0.500 0.134

6.
# La7Pr3Ho2 PBE-GGA optimized geometry
# E_form   6.4 kJ/mol of atoms
# Magnetic moment   0.00 μB/cell
data_La7Pr3Ho2
_cell_length_a 6.606
_cell_length_b 3.610
_cell_length_c 18.085
_cell_angle_alpha 90.00
_cell_angle_beta 95.98
_cell_angle_gamma 90.00
_symmetry_space_group_name_H-M 'P 1 2/m 1'
_symmetry_Int_Tables_number 10
_symmetry_space_group_name_Hall '-P 2y'
loop_
_atom_site_label
_atom_site_fract_x
_atom_site_fract_y
_atom_site_fract_z
La1 0.000 0.000 0.000
La2 0.220 0.500 0.171
La3 0.260 0.500 0.491
La4 0.271 0.000 0.831
Pr1 0.455 0.000 0.336
Pr2 0.500 0.500 0.000
Ho1 0.057 0.500 0.669

7.
# Pr2Nd3SmEr6 PBE-GGA optimized geometry
# E_form   1.3 kJ/mol of atoms
# Magnetic moment   0.00 μB/cell
data_Pr2Nd3SmEr6
_cell_length_a 6.246
_cell_length_b 10.816
_cell_length_c 11.779
_cell_angle_alpha 90.00
_cell_angle_beta 100.15
_cell_angle_gamma 90.00
_symmetry_space_group_name_H-M 'C 1 2/m 1'
_symmetry_Int_Tables_number 12
_symmetry_space_group_name_Hall '-C 2y'
loop_
_atom_site_label
_atom_site_fract_x
_atom_site_fract_y
_atom_site_fract_z
Pr1 0.000 0.167 0.000
Nd1 0.000 0.000 0.500
Nd2 0.000 0.333 0.500
Sm1 0.000 0.500 0.000
Er1 0.250 0.000 0.250
Er2 0.250 0.167 0.750

8.
# YSi2Br PBE-GGA optimized geometry
# Raw total energy   -4.68 eV per atom
# Magnetic moment   0.00 μB/cell
data_YSi2Br
_cell_length_a 5.127
_cell_length_b 5.127
_cell_length_c 3.357
_cell_angle_alpha 90.00
_cell_angle_beta 90.00
_cell_angle_gamma 90.00
_symmetry_space_group_name_H-M 'P 4/m m m'
_symmetry_Int_Tables_number 123
_symmetry_space_group_name_Hall '-P 4 2'
loop_
_atom_site_label
_atom_site_fract_x
_atom_site_fract_y
_atom_site_fract_z
Y1 0.000 0.000 0.000
Si1 0.000 0.500 0.500
Br1 0.500 0.500 0.000